Entry 1:
## PaMnSn (GGA-PBE)

Data for a relaxed structure of PaMnSn.

The value obtained for the total energy is -7.6393 eV/atom. As for the density of states at the Fermi level: 0.580 states/eV per atom. Its total magnetization is 0.000 μB per formula unit. The calculated volume comes out at 117 Å³ per cell. The formation energy from the elements is -83 meV/atom.

The structure belongs to space group I4mm (No. 107); the cell edges are 3.166, 3.166 and 11.649 Å and the angles 90.00°, 90.00° and 90.00°. The asymmetric unit holds Pa at (0.000, 0.000, 0.000), Mn at (0.000, 0.000, 0.357) and Sn at (0.000, 0.000, 0.718).

---

Entry 2:
## WSe2Cl (GGA-PBE)

Data for a relaxed structure of WSe2Cl.

The value obtained for the total energy is -5.1067 eV/atom. The value obtained for the formation energy without anion corrections is 0.336 eV per atom. As for the density of states at the Fermi level: 0.879 states/eV per atom. Its total magnetization is 0.001 μB per formula unit. For the distance to the lowest polymorph of the same formula, the calculation gives 0.6605 eV per atom. The calculated volume comes out at 177 Å³ per cell.

The structure belongs to space group Cmm2 (No. 35); the cell edges are 3.090, 5.154 and 11.086 Å and the angles 90.00°, 90.00° and 90.00°. The asymmetric unit holds W at (0.000, 0.000, 0.000), Se at (0.000, 0.000, 0.488), Se at (0.000, 0.500, 0.181) and Cl at (0.000, 0.500, 0.822).

---

Entry 3:
## Dy6GeP2Se3 (GGA-PBE)

Data for a relaxed structure of Dy6GeP2Se3.

The value obtained for the total energy is -6.1150 eV/atom. The value obtained for the formation energy without anion corrections is -1.656 eV per atom. As for the density of states at the Fermi level: 0.325 states/eV per atom. Its total magnetization is 0.000 μB per formula unit. The calculated volume comes out at 575 Å³ per cell.

The structure belongs to space group C2/m (No. 12); the cell edges are 17.818, 4.062 and 8.183 Å and the angles 90.00°, 103.95° and 90.00°. The asymmetric unit holds Dy at (0.004, 0.000, 0.243), Dy at (0.164, 0.500, 0.096), Dy at (0.172, 0.500, 0.572), Ge at (0.000, 0.500, 0.000), P at (0.167, 0.000, 0.335), Se at (0.000, 0.500, 0.500) and Se at (0.167, 0.000, 0.832).

---

- What is the calculated volume in the third record?
  575 Å³ per cell